Record 1
Here is a geometry-optimized La2ZrTc structure from the Alexandria database. Energies are from PBE.

```
data_La2ZrTc
_cell_length_a 3.494
_cell_length_b 4.517
_cell_length_c 6.354
_cell_angle_alpha 90.00
_cell_angle_beta 90.00
_cell_angle_gamma 90.00
_space_group_name_H-M_alt 'P m m 2'
_space_group_IT_number 25
loop_
_space_group_symop_operation_xyz
'x,y,z'
'-x,-y,z'
'-x,y,z'
'x,-y,z'
loop_
_atom_site_label
_atom_site_type_symbol
_atom_site_fract_x
_atom_site_fract_y
_atom_site_fract_z
La1 La 0.000 0.000 0.000
La2 La 0.500 0.500 0.325
Zr1 Zr 0.500 0.500 0.751
Tc1 Tc 0.000 0.000 0.606
```

Calculated volume   100.28 Å³ per cell
Calculated formation energy   18.65 kJ/mol of atoms
Excess energy over the best structure of this formula in the dataset   0.75 eV per formula unit

Record 2
Here is a geometry-optimized LaZr2Tc structure from the Alexandria database. Energies are from PBE.

```
data_LaZr2Tc
_cell_length_a 7.074
_cell_length_b 7.074
_cell_length_c 7.074
_cell_angle_alpha 90.00
_cell_angle_beta 90.00
_cell_angle_gamma 90.00
_space_group_name_H-M_alt 'F -4 3 m'
_space_group_IT_number 216
_space_group_name_Hall 'F -4 2 3'
loop_
_atom_site_label
_atom_site_type_symbol
_atom_site_fract_x
_atom_site_fract_y
_atom_site_fract_z
La1 La 0.000 0.000 0.000
Zr1 Zr 0.000 0.000 0.500
Zr2 Zr 0.250 0.250 0.750
Tc1 Tc 0.250 0.250 0.250
```

Calculated volume   353.96 Å³ per cell
Calculated formation energy   23.72 kJ/mol of atoms
Excess energy over the best structure of this formula in the dataset   1.43 eV per formula unit

Record 3
Here is a geometry-optimized LaZr2Tc structure from the Alexandria database. Energies are from PBE.

```
data_LaZr2Tc
_cell_length_a 4.167
_cell_length_b 4.167
_cell_length_c 5.198
_cell_angle_alpha 90.00
_cell_angle_beta 90.00
_cell_angle_gamma 90.00
_space_group_name_H-M_alt 'P 4/m m m'
_space_group_IT_number 123
_space_group_name_Hall '-P 4 2'
loop_
_atom_site_label
_atom_site_type_symbol
_atom_site_fract_x
_atom_site_fract_y
_atom_site_fract_z
La1 La 0.000 0.000 0.000
Zr1 Zr 0.000 0.500 0.500
Tc1 Tc 0.500 0.500 0.000
```

Calculated volume   90.25 Å³ per cell
Calculated formation energy   32.42 kJ/mol of atoms
Excess energy over the best structure of this formula in the dataset   1.79 eV per formula unit

Record 4
Here is a geometry-optimized LaZr2Tc structure from the Alexandria database. Energies are from PBE.

```
data_LaZr2Tc
_cell_length_a 3.307
_cell_length_b 4.519
_cell_length_c 6.185
_cell_angle_alpha 90.00
_cell_angle_beta 103.39
_cell_angle_gamma 90.00
_space_group_name_H-M_alt 'P 1 2/m 1'
_space_group_IT_number 10
loop_
_space_group_symop_operation_xyz
'x,y,z'
'-x,-y,-z'
'-x,y,-z'
'x,-y,z'
loop_
_atom_site_label
_atom_site_type_symbol
_atom_site_fract_x
_atom_site_fract_y
_atom_site_fract_z
La1 La 0.000 0.000 0.000
Zr1 Zr 0.298 0.500 0.712
Tc1 Tc 0.500 0.000 0.500
```

Calculated volume   89.90 Å³ per cell
Calculated formation energy   8.91 kJ/mol of atoms
Excess energy over the best structure of this formula in the dataset   0.81 eV per formula unit

Record 5
Here is a geometry-optimized La2ZrTc structure from the Alexandria database. Energies are from PBE.

```
data_La2ZrTc
_cell_length_a 4.268
_cell_length_b 4.268
_cell_length_c 5.325
_cell_angle_alpha 90.00
_cell_angle_beta 90.00
_cell_angle_gamma 90.00
_space_group_name_H-M_alt 'P 4/m m m'
_space_group_IT_number 123
_space_group_name_Hall '-P 4 2'
loop_
_atom_site_label
_atom_site_type_symbol
_atom_site_fract_x
_atom_site_fract_y
_atom_site_fract_z
La1 La 0.000 0.500 0.000
Zr1 Zr 0.000 0.000 0.500
Tc1 Tc 0.500 0.500 0.500
```

Calculated volume   97.01 Å³ per cell
Calculated formation energy   35.37 kJ/mol of atoms
Excess energy over the best structure of this formula in the dataset   1.44 eV per formula unit

Record 6
Here is a geometry-optimized LaZrTc structure from the Alexandria database. Energies are from PBE.

```
data_LaZrTc
_cell_length_a 6.544
_cell_length_b 6.544
_cell_length_c 6.544
_cell_angle_alpha 90.00
_cell_angle_beta 90.00
_cell_angle_gamma 90.00
_space_group_name_H-M_alt 'F -4 3 m'
_space_group_IT_number 216
_space_group_name_Hall 'F -4 2 3'
loop_
_atom_site_label
_atom_site_type_symbol
_atom_site_fract_x
_atom_site_fract_y
_atom_site_fract_z
La1 La 0.000 0.000 0.000
Zr1 Zr 0.250 0.250 0.250
Tc1 Tc 0.250 0.250 0.750
```

Calculated volume   280.29 Å³ per cell
Calculated formation energy   106.37 kJ/mol of atoms
Excess energy over the best structure of this formula in the dataset   3.36 eV per formula unit

Record 7
Here is a geometry-optimized La2ZrTc structure from the Alexandria database. Energies are from PBE.

```
data_La2ZrTc
_cell_length_a 5.221
_cell_length_b 5.221
_cell_length_c 3.671
_cell_angle_alpha 90.00
_cell_angle_beta 90.00
_cell_angle_gamma 90.00
_space_group_name_H-M_alt 'P 4/m m m'
_space_group_IT_number 123
_space_group_name_Hall '-P 4 2'
loop_
_atom_site_label
_atom_site_type_symbol
_atom_site_fract_x
_atom_site_fract_y
_atom_site_fract_z
La1 La 0.000 0.500 0.000
Zr1 Zr 0.000 0.000 0.500
Tc1 Tc 0.500 0.500 0.500
```

Calculated volume   100.05 Å³ per cell
Calculated formation energy   39.20 kJ/mol of atoms
Excess energy over the best structure of this formula in the dataset   1.60 eV per formula unit

Record 8
Here is a geometry-optimized La2Zr2Tc structure from the Alexandria database. Energies are from PBE.

```
data_La2Zr2Tc
_cell_length_a 3.776
_cell_length_b 3.776
_cell_length_c 20.172
_cell_angle_alpha 90.00
_cell_angle_beta 90.00
_cell_angle_gamma 90.00
_space_group_name_H-M_alt 'I 4/m m m'
_space_group_IT_number 139
_space_group_name_Hall '-I 4 2'
loop_
_atom_site_label
_atom_site_type_symbol
_atom_site_fract_x
_atom_site_fract_y
_atom_site_fract_z
La1 La 0.000 0.000 0.082
Zr1 Zr 0.000 0.500 0.250
Tc1 Tc 0.000 0.000 0.500
```

Calculated volume   287.60 Å³ per cell
Calculated formation energy   56.89 kJ/mol of atoms
Excess energy over the best structure of this formula in the dataset   2.44 eV per formula unit